# 1
The following is a DFT calculation (GGA-PBE) of a relaxed KCa4Hg crystal.

## Properties
The value obtained for the calculated volume is 45.42 A^3/atom. For the uncorrected energy, the calculation gives -0.0496 hartree per atom.

a = 7.2775 Å, b = 7.2775 Å, c = 7.2775 Å
α = 60.00°, β = 60.00°, γ = 60.00°
Fractional positions:
K: 0.0000 0.0000 0.0000
Ca: 0.3753 0.3753 0.3753
Ca: 0.3753 0.8740 0.3753
Hg: 0.7500 0.7500 0.7500
Ca: 0.8740 0.3753 0.3753
Ca: 0.3753 0.3753 0.8740

=====

# 2
The following is a DFT calculation (GGA-PBE) of a relaxed CePaAgPb crystal.

## Properties
The value obtained for the calculated volume is 27.51 A^3/atom. For the uncorrected energy, the calculation gives -0.1984 hartree per atom.

a = 5.3790 Å, b = 5.3790 Å, c = 5.3790 Å
α = 60.00°, β = 60.00°, γ = 60.00°
Each line ends with the local moment (μB).
Fractional positions:
Pa: 0.5000 0.5000 0.5000  1.60
Ce: 0.0000 0.0000 0.0000  1.17
Pb: 0.2500 0.2500 0.2500  -0.03
Ag: 0.7500 0.7500 0.7500  0.05

=====

# 3
The following is a DFT calculation (GGA-PBE) of a relaxed RbY2Si2 crystal.

## Properties
The calculation puts the uncorrected formation energy at -0.2493 eV per atom. The value obtained for the calculated volume is 25.65 A^3/atom. For the uncorrected energy, the calculation gives -0.1910 hartree per atom. The calculation puts the energy relative to the lowest polymorph listed for this composition at 0 meV/atom.

a = 8.8386 Å, b = 8.8386 Å, c = 3.2831 Å
α = 90.00°, β = 90.00°, γ = 90.00°
Fractional positions:
Si: 0.3398 0.1602 0.5000
Si: 0.1602 0.6602 0.5000
Y: 0.3653 0.8653 0.0000
Y: 0.8653 0.6347 0.0000
Y: 0.1347 0.3653 0.0000
Y: 0.6347 0.1347 0.0000
Rb: 0.0000 0.0000 0.0000
Si: 0.8398 0.3398 0.5000
Si: 0.6602 0.8398 0.5000
Rb: 0.5000 0.5000 0.0000

=====

Calculated ρ in order - 2.4, 10.4, 4.1 g/cm3
Calculated size of the total moment in order - 0.00, 3.95, 0.00 μB per formula unit